VASP calculation (PBE) on crystalline Ac2GaSbRh6 at its relaxed geometry.

calculated total energy	-6.490	eV per atom
magnetic moment	0.00	μB per formula unit
raw formation energy	-12.52	kcal/mol of atoms

Geometry as POSCAR:
```
Ac2GaSbRh6
1.0
6.487 -0.538 -1.069
-0.508 6.612 1.068
2.285 3.764 5.125
Ac Ga Sb Rh
2 1 1 6
direct
0.706 0.256 0.525 Ac
0.294 0.744 0.475 Ac
0.500 0.500 0.000 Ga
0.000 0.000 0.000 Sb
0.233 0.235 0.494 Rh
0.921 0.702 0.871 Rh
0.278 0.768 0.003 Rh
0.722 0.232 0.997 Rh
0.079 0.298 0.129 Rh
0.767 0.765 0.506 Rh
```